(A)
16
Lattice="6.7754 0.0000 0.0000 0.0000 6.7754 0.0000 0.0000 0.0000 6.7754" Properties=species:S:1:pos:R:3 comment="ZrScTa2, optimized geometry, DFT GGA-PBEsol" m_tot_mub_per_atom=0.000 sg="Fm-3m, No. 225" pbc="T T T"
Zr 0.0000 0.0000 0.0000
Zr 0.0000 3.3877 3.3877
Zr 3.3877 0.0000 3.3877
Zr 3.3877 3.3877 0.0000
Sc 0.0000 0.0000 3.3877
Sc 0.0000 3.3877 0.0000
Sc 3.3877 0.0000 0.0000
Sc 3.3877 3.3877 3.3877
Ta 1.6938 1.6938 1.6938
Ta 1.6938 1.6938 5.0815
Ta 1.6938 5.0815 1.6938
Ta 1.6938 5.0815 5.0815
Ta 5.0815 1.6938 1.6938
Ta 5.0815 1.6938 5.0815
Ta 5.0815 5.0815 1.6938
Ta 5.0815 5.0815 5.0815


(B)
4
Lattice="2.8568 0.0000 0.0000 0.0000 2.8568 0.0000 0.0000 0.0000 9.5768" Properties=species:S:1:pos:R:3 comment="ZrScTa2, optimized geometry, DFT GGA-PBEsol" m_tot_mub_per_atom=0.000 sg="P4/mmm, No. 123" pbc="T T T"
Zr 0.0000 0.0000 0.0000
Sc 0.0000 0.0000 4.7884
Ta 1.4284 1.4284 2.3993
Ta 1.4284 1.4284 7.1775


(C)
8
Lattice="3.4257 0.0000 0.0000 0.0000 4.8840 0.0000 0.0000 0.0000 9.4889" Properties=species:S:1:pos:R:3 comment="ZrScTa2, optimized geometry, DFT GGA-PBEsol" m_tot_mub_per_atom=0.000 sg="Imm2, No. 44" pbc="T T T"
Zr 0.0000 0.0000 0.0000
Zr 1.7128 2.4420 4.7445
Sc 0.0000 2.4420 7.3006
Sc 1.7128 0.0000 2.5562
Ta 0.0000 0.0000 5.0453
Ta 0.0000 2.4420 2.2894
Ta 1.7128 0.0000 7.0338
Ta 1.7128 2.4420 0.3008


(D)
16
Lattice="6.7626 0.0000 0.0000 0.0000 6.7626 0.0000 0.0000 0.0000 6.7626" Properties=species:S:1:pos:R:3 comment="ZrScTa2, optimized geometry, DFT GGA-PBEsol" m_tot_mub_per_atom=0.000 sg="F-43m, No. 216" pbc="T T T"
Zr 0.0000 0.0000 0.0000
Zr 0.0000 3.3813 3.3813
Zr 3.3813 0.0000 3.3813
Zr 3.3813 3.3813 0.0000
Sc 1.6907 1.6907 1.6907
Sc 1.6907 5.0720 5.0720
Sc 5.0720 1.6907 5.0720
Sc 5.0720 5.0720 1.6907
Ta 0.0000 0.0000 3.3813
Ta 0.0000 3.3813 0.0000
Ta 1.6907 1.6907 5.0720
Ta 1.6907 5.0720 1.6907
Ta 3.3813 0.0000 0.0000
Ta 3.3813 3.3813 3.3813
Ta 5.0720 1.6907 1.6907
Ta 5.0720 5.0720 5.0720


(D) is favored, and the nearest alternative lies 10 meV per atom above it.


(A)
8
Lattice="3.3900 0.0000 0.0000 0.0000 4.6894 0.0000 0.0000 0.0000 9.7554" Properties=species:S:1:pos:R:3 comment="ZrScTa2, optimized geometry, DFT GGA-PBEsol" m_tot_mub_per_atom=0.000 sg="Cmmm, No. 65" pbc="T T T"
Zr 0.0000 0.0000 0.0000
Zr 1.6950 2.3447 0.0000
Sc 0.0000 0.0000 4.8777
Sc 1.6950 2.3447 4.8777
Ta 0.0000 2.3447 2.4103
Ta 0.0000 2.3447 7.3451
Ta 1.6950 0.0000 2.4103
Ta 1.6950 0.0000 7.3451


(B)
4
Lattice="2.9572 0.0000 0.0000 0.0000 4.6597 0.0000 -1.3410 0.0000 5.7356" Properties=species:S:1:pos:R:3 comment="ZrScTa2, optimized geometry, DFT GGA-PBEsol" m_tot_mub_per_atom=0.000 sg="Pm, No. 6" pbc="T T T"
Zr 0.0000 0.0000 0.0000
Sc 1.3208 2.3298 1.6932
Ta -0.3656 0.0000 3.0462
Ta 0.2880 2.3298 4.4075


(B) is favored, and the nearest alternative lies 42 meV per atom above it.


(A)
12
Lattice="4.8526 0.0000 0.0000 0.0000 3.4878 0.0000 0.0000 0.0000 14.8385" Properties=species:S:1:pos:R:3 comment="Sc5Tc, optimized geometry, DFT GGA-PBEsol" m_tot_mub_per_atom=0.000 sg="Amm2, No. 38" pbc="T T T"
Sc 0.0000 0.0000 0.0000
Sc 0.0000 0.0000 4.1646
Sc 0.0000 1.7439 7.4193
Sc 0.0000 1.7439 11.5839
Sc 2.4263 0.0000 2.3427
Sc 2.4263 0.0000 7.4871
Sc 2.4263 0.0000 12.3969
Sc 2.4263 1.7439 0.0678
Sc 2.4263 1.7439 4.9777
Sc 2.4263 1.7439 9.7620
Tc 0.0000 0.0000 9.4464
Tc 0.0000 1.7439 2.0272


(B)
12
Lattice="11.0567 0.0000 0.0000 0.0000 3.3158 0.0000 -2.7522 0.0000 6.9910" Properties=species:S:1:pos:R:3 comment="Sc5Tc, optimized geometry, DFT GGA-PBEsol" m_tot_mub_per_atom=0.000 sg="C2/m, No. 12" pbc="T T T"
Sc 0.0000 0.0000 0.0000
Sc 0.5134 1.6579 2.5384
Sc -0.3693 1.6579 5.5047
Sc 3.1455 0.0000 1.4864
Sc 2.2627 0.0000 4.4526
Sc 5.5284 1.6579 0.0000
Sc 6.0418 0.0000 2.5384
Sc 5.1590 0.0000 5.5047
Sc 8.6739 1.6579 1.4864
Sc 7.7911 1.6579 4.4526
Tc -1.3761 0.0000 3.4955
Tc 4.1523 1.6579 3.4955


(B) is favored, and the nearest alternative lies 78 meV per atom above it.


(A)
8
Lattice="3.2935 0.0000 0.0000 0.0000 4.5114 0.0000 0.0000 0.0000 9.1224" Properties=species:S:1:pos:R:3 comment="ScTlTc2, optimized geometry, DFT GGA-PBEsol" m_tot_mub_per_atom=0.000 sg="Immm, No. 71" pbc="T T T"
Sc 0.0000 0.0000 0.0000
Sc 1.6467 2.2557 4.5612
Tl 0.0000 0.0000 4.5612
Tl 1.6467 2.2557 0.0000
Tc 0.0000 2.2557 2.3618
Tc 0.0000 2.2557 6.7606
Tc 1.6467 0.0000 2.1994
Tc 1.6467 0.0000 6.9230


(B)
4
Lattice="3.0143 0.0000 0.0000 0.0000 4.0131 0.0000 -0.5383 0.0000 5.7086" Properties=species:S:1:pos:R:3 comment="ScTlTc2, optimized geometry, DFT GGA-PBEsol" m_tot_mub_per_atom=0.000 sg="Pm, No. 6" pbc="T T T"
Sc 0.0000 0.0000 0.0000
Tl 0.9595 2.0065 4.1113
Tc 1.3638 2.0065 1.3814
Tc 2.4793 0.0000 2.4571


(B) is favored, and the nearest alternative lies 196 meV per atom above it.


(A)
6
Lattice="3.1235 0.0000 0.0000 0.0000 3.1235 0.0000 0.0000 0.0000 10.0604" Properties=species:S:1:pos:R:3 comment="ScTcW, optimized geometry, DFT GGA-PBEsol" m_tot_mub_per_atom=0.000 sg="I4mm, No. 107" pbc="T T T"
Sc 0.0000 0.0000 0.0000
Sc 1.5617 1.5617 5.0302
Tc 0.0000 0.0000 6.8031
Tc 1.5617 1.5617 1.7729
W 0.0000 0.0000 3.1537
W 1.5617 1.5617 8.1839


(B)
12
Lattice="6.0752 0.0000 0.0000 0.0000 6.0752 0.0000 0.0000 0.0000 6.0752" Properties=species:S:1:pos:R:3 comment="ScTcW, optimized geometry, DFT GGA-PBEsol" m_tot_mub_per_atom=0.000 sg="F-43m, No. 216" pbc="T T T"
Sc 0.0000 0.0000 0.0000
Sc 0.0000 3.0376 3.0376
Sc 3.0376 0.0000 3.0376
Sc 3.0376 3.0376 0.0000
Tc 0.0000 0.0000 3.0376
Tc 0.0000 3.0376 0.0000
Tc 3.0376 0.0000 0.0000
Tc 3.0376 3.0376 3.0376
W 1.5188 1.5188 4.5564
W 1.5188 4.5564 1.5188
W 4.5564 1.5188 1.5188
W 4.5564 4.5564 4.5564


(C)
12
Lattice="3.1424 0.0000 0.0000 0.0000 4.5920 0.0000 0.0000 0.0000 13.5149" Properties=species:S:1:pos:R:3 comment="ScTcW, optimized geometry, DFT GGA-PBEsol" m_tot_mub_per_atom=0.000 sg="Fmm2, No. 42" pbc="T T T"
Sc 0.0000 0.0000 0.0000
Sc 0.0000 2.2960 6.7575
Sc 1.5712 0.0000 6.7575
Sc 1.5712 2.2960 0.0000
Tc 0.0000 0.0000 9.0139
Tc 0.0000 2.2960 2.2564
Tc 1.5712 0.0000 2.2564
Tc 1.5712 2.2960 9.0139
W 0.0000 0.0000 4.3090
W 0.0000 2.2960 11.0664
W 1.5712 0.0000 11.0664
W 1.5712 2.2960 4.3090


(A) is favored, and the nearest alternative lies 222 meV per atom above it.


(A)
3
Lattice="4.5555 0.0000 0.0000 -2.2778 3.9452 0.0000 0.0000 0.0000 3.4114" Properties=species:S:1:pos:R:3 comment="YScTc, optimized geometry, DFT GGA-PBEsol" m_tot_mub_per_atom=0.000 sg="P3m1, No. 156" pbc="T T T"
Y 0.0000 0.0000 0.0000
Sc 2.2778 1.3151 1.8506
Tc 0.0000 2.6301 1.3778


(B)
12
Lattice="4.7230 0.0000 0.0000 0.0000 4.7379 0.0000 0.0000 0.0000 11.5085" Properties=species:S:1:pos:R:3 comment="YScTc, optimized geometry, DFT GGA-PBEsol" m_tot_mub_per_atom=0.000 sg="Fmm2, No. 42" pbc="T T T"
Y 0.0000 0.0000 0.0000
Y 0.0000 2.3689 5.7542
Y 2.3615 0.0000 5.7542
Y 2.3615 2.3689 0.0000
Sc 0.0000 0.0000 3.0849
Sc 0.0000 2.3689 8.8392
Sc 2.3615 0.0000 8.8392
Sc 2.3615 2.3689 3.0849
Tc 0.0000 0.0000 7.4533
Tc 0.0000 2.3689 1.6990
Tc 2.3615 0.0000 1.6990
Tc 2.3615 2.3689 7.4533


(B) is favored, and the nearest alternative lies 148 meV per atom above it.


(A)
8
Lattice="3.4089 0.0000 0.0000 0.0000 5.0861 0.0000 0.0000 0.0000 9.9851" Properties=species:S:1:pos:R:3 comment="YSc2Tc, optimized geometry, DFT GGA-PBEsol" m_tot_mub_per_atom=0.000 sg="Immm, No. 71" pbc="T T T"
Y 0.0000 0.0000 0.0000
Y 1.7044 2.5431 4.9926
Sc 0.0000 2.5431 2.0249
Sc 0.0000 2.5431 7.9603
Sc 1.7044 0.0000 2.9677
Sc 1.7044 0.0000 7.0174
Tc 0.0000 0.0000 4.9926
Tc 1.7044 2.5431 0.0000


(B)
8
Lattice="3.4500 0.0000 0.0000 0.0000 4.9592 0.0000 0.0000 0.0000 9.9945" Properties=species:S:1:pos:R:3 comment="YSc2Tc, optimized geometry, DFT GGA-PBEsol" m_tot_mub_per_atom=0.000 sg="Imm2, No. 44" pbc="T T T"
Y 0.0000 0.0000 0.0000
Y 1.7250 2.4796 4.9973
Sc 0.0000 0.0000 5.8718
Sc 0.0000 2.4796 7.8978
Sc 1.7250 0.0000 2.9005
Sc 1.7250 2.4796 0.8746
Tc 0.0000 2.4796 2.7928
Tc 1.7250 0.0000 7.7901


(A) is favored, and the nearest alternative lies 54 meV per atom above it.